Entry 1:
The following is a DFT calculation (GGA-PBE) of TbTmS2 after structural relaxation.

```
TbTmS2
1.0
1.904 1.099 6.712
-1.904 1.099 6.712
0.000 -2.199 6.712
Tb Tm S
1 1 2
Cartesian
0.000 0.000 0.000 Tb
0.000 0.000 3.588 Tm
0.000 0.000 11.781 S
0.000 0.000 15.289 S
```

Calculated values
formation energy (no corrections): -1.95 eV per atom
offset from the most stable computed form: 21 meV/atom

***

Entry 2:
The following is a DFT calculation (GGA-PBE) of TbTmS3 after structural relaxation.

```
TbTmS3
1.0
7.705 0.000 0.000
0.000 3.867 0.000
-0.633 0.000 7.702
Tb Tm S
2 2 6
Cartesian
0.750 0.967 2.080 Tb
6.322 2.901 5.622 Tb
2.205 2.901 6.321 Tm
4.867 0.967 1.381 Tm
0.387 0.967 6.831 S
1.060 2.901 4.004 S
2.958 2.901 1.379 S
4.114 0.967 6.323 S
6.012 0.967 3.698 S
6.685 2.901 0.871 S
```

Calculated values
formation energy (no corrections): -2.05 eV per atom
offset from the most stable computed form: 21 meV/atom

***

Entry 3:
The following is a DFT calculation (GGA-PBE) of TbTmS3 after structural relaxation.

```
TbTmS3
1.0
7.281 0.000 0.000
0.000 3.879 0.000
0.000 0.000 15.127
Tb Tm S
4 4 12
Cartesian
1.029 0.970 3.070 Tb
2.611 2.909 10.634 Tb
4.669 0.970 4.493 Tb
6.252 2.909 12.057 Tb
1.687 2.909 6.921 Tm
1.954 0.970 14.484 Tm
5.327 2.909 0.642 Tm
5.594 0.970 8.206 Tm
0.079 0.970 5.959 S
0.896 2.909 0.987 S
1.099 0.970 11.849 S
2.541 2.909 4.286 S
2.744 0.970 8.550 S
3.562 2.909 13.522 S
3.719 0.970 1.604 S
4.537 2.909 6.577 S
4.739 0.970 10.841 S
6.182 2.909 3.278 S
6.384 0.970 14.140 S
7.202 2.909 9.168 S
```

Calculated values
formation energy (no corrections): -2.07 eV per atom
offset from the most stable computed form: 0 meV/atom

***

Entry 4:
The following is a DFT calculation (GGA-PBE) of Tb2TmS after structural relaxation.

```
Tb2TmS
1.0
1.834 1.059 9.942
-1.834 1.059 9.942
0.000 -2.117 9.942
Tb Tm S
2 1 1
Cartesian
0.000 0.000 3.318 Tb
0.000 0.000 26.509 Tb
0.000 0.000 0.000 Tm
0.000 0.000 14.913 S
```

Calculated values
formation energy (no corrections): -0.71 eV per atom

***

Entry 5:
The following is a DFT calculation (GGA-PBE) of Tb3Tm4S8 after structural relaxation.

```
Tb3Tm4S8
1.0
5.479 -5.481 0.000
5.479 5.481 0.000
-5.463 0.000 5.483
Tb Tm S
3 4 8
Cartesian
0.000 0.000 0.000 Tb
2.739 2.741 0.000 Tb
2.739 -2.741 0.000 Tb
0.008 2.741 2.742 Tm
0.008 -2.741 2.742 Tm
5.479 0.000 0.000 Tm
2.747 0.000 2.742 Tm
2.747 2.730 2.742 S
5.479 2.713 0.000 S
0.015 0.000 2.769 S
2.767 0.000 0.014 S
2.727 0.000 5.469 S
5.479 0.000 2.714 S
5.479 -2.713 0.000 S
2.747 -2.730 2.742 S
```

Calculated values
formation energy (no corrections): -2.03 eV per atom

***

Entry 6:
The following is a DFT calculation (GGA-PBE) of Tb3TmS6 after structural relaxation.

```
Tb3TmS6
1.0
5.739 3.313 4.540
-5.739 3.313 4.540
0.000 -6.626 4.540
Tb Tm S
6 2 12
Cartesian
-3.901 -1.119 6.322 Tb
-0.982 -3.938 7.298 Tb
-2.920 2.819 7.298 Tb
2.920 -2.819 6.322 Tb
0.982 3.938 6.322 Tb
3.902 1.119 7.298 Tb
0.000 0.000 0.000 Tm
0.000 0.000 6.810 Tm
-3.709 -3.623 7.395 S
-4.992 1.401 6.225 S
-1.334 -1.893 5.427 S
1.283 -5.024 6.225 S
-2.306 0.209 8.193 S
-0.972 2.102 5.427 S
0.972 -2.102 8.193 S
2.306 -0.209 5.427 S
-1.283 5.024 7.395 S
1.334 1.893 8.193 S
4.992 -1.401 7.395 S
3.709 3.623 6.225 S
```

Calculated values
formation energy (no corrections): -2.07 eV per atom

***

Entry 7:
The following is a DFT calculation (GGA-PBE) of TbTm3S4 after structural relaxation.

```
TbTm3S4
1.0
5.465 0.000 0.000
0.000 5.465 0.000
0.000 0.000 5.465
Tb Tm S
1 3 4
Cartesian
0.000 0.000 0.000 Tb
0.000 2.732 2.732 Tm
2.732 0.000 2.732 Tm
2.732 2.732 0.000 Tm
0.000 0.000 2.732 S
0.000 2.732 0.000 S
2.732 0.000 0.000 S
2.732 2.732 2.732 S
```

Calculated values
formation energy (no corrections): -1.93 eV per atom
offset from the most stable computed form: 14 meV/atom

***

Entry 8:
The following is a DFT calculation (GGA-PBE) of Tb4TmS4 after structural relaxation.

```
Tb4TmS4
1.0
-4.330 4.330 2.759
4.330 -4.330 2.759
4.330 4.330 -2.759
Tb Tm S
4 1 4
Cartesian
2.609 0.878 0.000 Tb
3.452 -1.721 2.759 Tb
0.878 6.051 0.000 Tb
1.721 3.452 2.759 Tb
0.000 0.000 2.759 Tm
5.173 1.753 0.000 S
1.753 3.487 0.000 S
2.577 0.843 2.759 S
-0.843 2.577 2.759 S
```

Calculated values
formation energy (no corrections): -1.76 eV per atom

***

Here are the calculated E_tot numbers, same order: -6.291, -6.345, -6.367, -5.174, -6.354, -6.385, -6.252, -6.146 (eV per atom).